[1]
Material: InGeCl3
Method: DFT, GGA-PBE
State: optimized geometry

CIF file:
```
data_InGeCl3
_cell_length_a 5.332
_cell_length_b 5.332
_cell_length_c 5.571
_cell_angle_alpha 90.00
_cell_angle_beta 90.00
_cell_angle_gamma 90.00
_space_group_name_H-M_alt 'P 4 m m'
_space_group_IT_number 99
_space_group_name_Hall 'P 4 -2'
loop_
_atom_site_label
_atom_site_type_symbol
_atom_site_fract_x
_atom_site_fract_y
_atom_site_fract_z
_atom_site_occupancy
In1 In 0.000 0.000 0.000 1
Ge1 Ge 0.500 0.500 0.627 1
Cl1 Cl 0.000 0.500 0.685 1
Cl2 Cl 0.500 0.500 0.209 1
```

crystal system = tetragonal
spin magnetization = 0.00 Bohr magnetons per cell
formation energy from raw total energies = -781 meV/atom



[2]
Material: VZn2Cd2
Method: DFT, GGA-PBE
State: optimized geometry

CIF file:
```
data_VZn2Cd2
_cell_length_a 7.366
_cell_length_b 7.366
_cell_length_c 3.420
_cell_angle_alpha 90.00
_cell_angle_beta 90.00
_cell_angle_gamma 90.00
_space_group_name_H-M_alt 'P 4/m b m'
_space_group_IT_number 127
_space_group_name_Hall '-P 4 2ab'
loop_
_atom_site_label
_atom_site_type_symbol
_atom_site_fract_x
_atom_site_fract_y
_atom_site_fract_z
_atom_site_occupancy
V1 V 0.000 0.000 0.000 1
Zn1 Zn 0.123 0.377 0.000 1
Cd1 Cd 0.179 0.679 0.500 1
```

E above lowest polymorph = 0.000 eV/atom
crystal system = tetragonal
spin magnetization = 6.32 Bohr magnetons per cell



[3]
Material: Ac2La3Cd2
Method: DFT, GGA-PBE
State: optimized geometry

CIF file:
```
data_Ac2La3Cd2
_cell_length_a 12.377
_cell_length_b 5.871
_cell_length_c 6.842
_cell_angle_alpha 90.00
_cell_angle_beta 97.19
_cell_angle_gamma 90.00
_space_group_name_H-M_alt 'C 1 2/m 1'
_space_group_IT_number 12
_space_group_name_Hall '-C 2y'
loop_
_atom_site_label
_atom_site_type_symbol
_atom_site_fract_x
_atom_site_fract_y
_atom_site_fract_z
_atom_site_occupancy
Ac1 Ac 0.176 0.000 0.387 1
La1 La 0.000 0.500 0.500 1
La2 La 0.144 0.500 0.042 1
Cd1 Cd 0.079 0.000 0.839 1
```

E above lowest polymorph = 0.000 eV/atom
crystal system = monoclinic
spin magnetization = 0.00 Bohr magnetons per cell



[4]
Material: SrGdZnRh
Method: DFT, GGA-PBE
State: optimized geometry

CIF file:
```
data_SrGdZnRh
_cell_length_a 7.236
_cell_length_b 7.236
_cell_length_c 7.236
_cell_angle_alpha 90.00
_cell_angle_beta 90.00
_cell_angle_gamma 90.00
_space_group_name_H-M_alt 'F -4 3 m'
_space_group_IT_number 216
_space_group_name_Hall 'F -4 2 3'
loop_
_atom_site_label
_atom_site_type_symbol
_atom_site_fract_x
_atom_site_fract_y
_atom_site_fract_z
_atom_site_occupancy
Sr1 Sr 0.000 0.000 0.000 1
Gd1 Gd 0.000 0.000 0.500 1
Zn1 Zn 0.250 0.250 0.750 1
Rh1 Rh 0.250 0.250 0.250 1
```

final energy = -6.395 eV per atom
crystal system = cubic
spin magnetization = 29.21 Bohr magnetons per cell



[5]
Material: CoPd3Au
Method: DFT, GGA-PBE
State: optimized geometry

CIF file:
```
data_CoPd3Au
_cell_length_a 4.552
_cell_length_b 4.552
_cell_length_c 4.552
_cell_angle_alpha 90.00
_cell_angle_beta 90.00
_cell_angle_gamma 90.00
_space_group_name_H-M_alt 'P m -3 m'
_space_group_IT_number 221
_space_group_name_Hall '-P 4 2 3'
loop_
_atom_site_label
_atom_site_type_symbol
_atom_site_fract_x
_atom_site_fract_y
_atom_site_fract_z
_atom_site_occupancy
Co1 Co 0.000 0.000 0.000 1
Pd1 Pd 0.000 0.000 0.500 1
Au1 Au 0.500 0.500 0.500 1
```

E above lowest polymorph = 0.722 eV/atom
crystal system = cubic
spin magnetization = 3.27 Bohr magnetons per cell



[6]
Material: CaAcSm
Method: DFT, GGA-PBE
State: optimized geometry

CIF file:
```
data_CaAcSm
_cell_length_a 3.876
_cell_length_b 3.876
_cell_length_c 15.996
_cell_angle_alpha 90.00
_cell_angle_beta 90.00
_cell_angle_gamma 90.00
_space_group_name_H-M_alt 'I 4 m m'
_space_group_IT_number 107
_space_group_name_Hall 'I 4 -2'
loop_
_atom_site_label
_atom_site_type_symbol
_atom_site_fract_x
_atom_site_fract_y
_atom_site_fract_z
_atom_site_occupancy
Ca1 Ca 0.000 0.000 0.000 1
Ac1 Ac 0.000 0.000 0.681 1
Sm1 Sm 0.000 0.000 0.336 1
```

E above lowest polymorph = 0.001 eV/atom
crystal system = tetragonal
spin magnetization = 0.00 Bohr magnetons per cell



[7]
Material: Co2NiSe
Method: DFT, GGA-PBE
State: optimized geometry

CIF file:
```
data_Co2NiSe
_cell_length_a 2.807
_cell_length_b 3.746
_cell_length_c 4.911
_cell_angle_alpha 90.00
_cell_angle_beta 104.05
_cell_angle_gamma 90.00
_space_group_name_H-M_alt 'P 1 2/m 1'
_space_group_IT_number 10
_space_group_name_Hall '-P 2y'
loop_
_atom_site_label
_atom_site_type_symbol
_atom_site_fract_x
_atom_site_fract_y
_atom_site_fract_z
_atom_site_occupancy
Co1 Co 0.128 0.000 0.249 1
Ni1 Ni 0.500 0.500 0.000 1
Se1 Se 0.500 0.500 0.500 1
```

crystal system = monoclinic
spin magnetization = 3.10 Bohr magnetons per cell
formation energy from raw total energies = 237 meV/atom



[8]
Material: NdZr4Sc8
Method: DFT, GGA-PBE
State: optimized geometry

CIF file:
```
data_NdZr4Sc8
_cell_length_a 11.094
_cell_length_b 6.404
_cell_length_c 10.372
_cell_angle_alpha 90.00
_cell_angle_beta 110.79
_cell_angle_gamma 90.00
_space_group_name_H-M_alt 'C 1 2/m 1'
_space_group_IT_number 12
_space_group_name_Hall '-C 2y'
loop_
_atom_site_label
_atom_site_type_symbol
_atom_site_fract_x
_atom_site_fract_y
_atom_site_fract_z
_atom_site_occupancy
Nd1 Nd 0.000 0.000 0.000 1
Zr1 Zr 0.000 0.000 0.500 1
Zr2 Zr 0.000 0.500 0.500 1
Zr3 Zr 0.250 0.250 0.500 1
Sc1 Sc 0.071 0.500 0.216 1
Sc2 Sc 0.093 0.000 0.277 1
Sc3 Sc 0.177 0.253 0.784 1
```

final energy = -6.650 eV per atom
crystal system = monoclinic
spin magnetization = 0.04 Bohr magnetons per cell



[9]
Material: La2MnCo2
Method: DFT, GGA-PBE
State: optimized geometry

CIF file:
```
data_La2MnCo2
_cell_length_a 6.458
_cell_length_b 6.458
_cell_length_c 4.538
_cell_angle_alpha 90.00
_cell_angle_beta 90.00
_cell_angle_gamma 90.00
_space_group_name_H-M_alt 'P 4/m b m'
_space_group_IT_number 127
_space_group_name_Hall '-P 4 2ab'
loop_
_atom_site_label
_atom_site_type_symbol
_atom_site_fract_x
_atom_site_fract_y
_atom_site_fract_z
_atom_site_occupancy
La1 La 0.178 0.322 0.000 1
Mn1 Mn 0.000 0.000 0.500 1
Co1 Co 0.145 0.645 0.500 1
```

final energy = -6.352 eV per atom
crystal system = tetragonal
spin magnetization = 0.00 Bohr magnetons per cell



[10]
Material: Mg2TiCd3
Method: DFT, GGA-PBE
State: optimized geometry

CIF file:
```
data_Mg2TiCd3
_cell_length_a 3.195
_cell_length_b 3.195
_cell_length_c 11.958
_cell_angle_alpha 90.00
_cell_angle_beta 90.00
_cell_angle_gamma 90.00
_space_group_name_H-M_alt 'P 4/m m m'
_space_group_IT_number 123
_space_group_name_Hall '-P 4 2'
loop_
_atom_site_label
_atom_site_type_symbol
_atom_site_fract_x
_atom_site_fract_y
_atom_site_fract_z
_atom_site_occupancy
Mg1 Mg 0.000 0.000 0.170 1
Ti1 Ti 0.000 0.000 0.500 1
Cd1 Cd 0.500 0.500 0.000 1
Cd2 Cd 0.500 0.500 0.340 1
```

final energy = -2.349 eV per atom
crystal system = tetragonal
spin magnetization = 0.00 Bohr magnetons per cell



[11]
Material: Ca4La3In4
Method: DFT, GGA-PBE
State: optimized geometry

CIF file:
```
data_Ca4La3In4
_cell_length_a 5.435
_cell_length_b 7.610
_cell_length_c 17.654
_cell_angle_alpha 90.00
_cell_angle_beta 90.00
_cell_angle_gamma 90.00
_space_group_name_H-M_alt 'I m m m'
_space_group_IT_number 71
_space_group_name_Hall '-I 2 2'
loop_
_atom_site_label
_atom_site_type_symbol
_atom_site_fract_x
_atom_site_fract_y
_atom_site_fract_z
_atom_site_occupancy
Ca1 Ca 0.000 0.227 0.179 1
La1 La 0.000 0.000 0.399 1
La2 La 0.000 0.500 0.500 1
In1 In 0.000 0.305 0.000 1
In2 In 0.000 0.500 0.313 1
```

final energy = -3.399 eV per atom
crystal system = orthorhombic
spin magnetization = 0.00 Bohr magnetons per cell



[12]
Material: TaP2Os
Method: DFT, GGA-PBE
State: optimized geometry

CIF file:
```
data_TaP2Os
_cell_length_a 3.090
_cell_length_b 3.630
_cell_length_c 5.279
_cell_angle_alpha 90.00
_cell_angle_beta 90.00
_cell_angle_gamma 90.00
_space_group_name_H-M_alt 'P m m m'
_space_group_IT_number 47
_space_group_name_Hall '-P 2 2'
loop_
_atom_site_label
_atom_site_type_symbol
_atom_site_fract_x
_atom_site_fract_y
_atom_site_fract_z
_atom_site_occupancy
Ta1 Ta 0.000 0.000 0.000 1
P1 P 0.500 0.500 0.224 1
Os1 Os 0.500 0.000 0.500 1
```

E above lowest polymorph = 0.143 eV/atom
crystal system = orthorhombic
spin magnetization = 0.00 Bohr magnetons per cell



Number 1: D(E_F) 0.000 states/eV/atom. Number 2: D(E_F) 0.842 states/eV/atom. Number 3: D(E_F) 1.435 states/eV/atom. Number 4: D(E_F) 0.962 states/eV/atom. Number 5: D(E_F) 0.846 states/eV/atom. Number 6: D(E_F) 1.222 states/eV/atom. Number 7: D(E_F) 1.030 states/eV/atom. Number 8: D(E_F) 1.646 states/eV/atom. Number 9: D(E_F) 1.419 states/eV/atom. Number 10: D(E_F) 0.531 states/eV/atom. Number 11: D(E_F) 0.681 states/eV/atom. Number 12: D(E_F) 0.521 states/eV/atom.